# SrPuIr4

Crystalline SrPuIr4 at its relaxed geometry (PBE-GGA, Alexandria via LeMat-Bulk).

Output
- calculated total energy (eV/cell) = -53.79
- D(E_F) (states/eV per cell) = 10.705
- calculated formation energy (eV per atom) = -0.388

a b c (Å): 5.416 5.416 5.416
angles (deg): 60.00 60.00 60.00
Positions (direct):
1 Ir 0.125 0.625 0.625
2 Ir 0.625 0.625 0.625
3 Ir 0.625 0.125 0.625
4 Ir 0.625 0.625 0.125
5 Sr 0.250 0.250 0.250
6 Pu 0.000 0.000 0.000

---

# DyThSc3

Crystalline DyThSc3 at its relaxed geometry (PBE-GGA, Alexandria via LeMat-Bulk).

Output
- calculated total energy (eV/cell) = -59.81
- D(E_F) (states/eV per cell) = 17.777
- calculated formation energy (eV per atom) = 0.223
- ΔE to the lowest computed polymorph (meV/atom) = 0

a b c (Å): 3.242 8.644 10.665
angles (deg): 73.07 90.00 100.81
Positions (direct):
1 Sc 0.801 0.602 0.367
2 Sc 0.697 0.393 0.134
3 Sc 0.199 0.398 0.633
4 Sc 0.993 0.985 0.735
5 Sc 0.303 0.607 0.866
6 Sc 0.007 0.015 0.265
7 Th 0.396 0.792 0.548
8 Th 0.604 0.208 0.452
9 Dy 0.899 0.798 0.055
10 Dy 0.101 0.202 0.945

---

# V2AgN2

Crystalline V2AgN2 at its relaxed geometry (PBE-GGA, Alexandria via LeMat-Bulk).

Output
- calculated total energy (eV/cell) = -74.95
- ΔE_f (raw) (meV per atom) = 53
- D(E_F) (states/eV per cell) = 6.231
- ΔE to the lowest computed polymorph (meV/atom) = 456

a b c (Å): 6.211 6.211 2.709
angles (deg): 90.00 90.00 90.00
Positions (direct):
1 V 0.867 0.367 0.500
2 V 0.367 0.133 0.500
3 V 0.633 0.867 0.500
4 V 0.133 0.633 0.500
5 N 0.365 0.865 0.000
6 N 0.865 0.635 0.000
7 N 0.635 0.135 0.000
8 N 0.135 0.365 0.000
9 Ag 0.500 0.500 0.000
10 Ag 0.000 0.000 0.000

---

# CdFeMo2

Crystalline CdFeMo2 at its relaxed geometry (PBE-GGA, Alexandria via LeMat-Bulk).

Output
- calculated total energy (eV/cell) = -30.07
- D(E_F) (states/eV per cell) = 2.860
- calculated formation energy (eV per atom) = 0.242

a b c (Å): 2.725 2.725 9.002
angles (deg): 90.00 90.00 107.69
Positions (direct):
1 Mo 0.500 0.500 0.234
2 Mo 0.000 0.000 0.987
3 Fe 0.500 0.500 0.766
4 Cd 0.000 0.000 0.513